A geometry-optimized Er3Cd4Ag4 structure, computed with PBE-GGA.

Values from the calculation:
As for the density of states at the Fermi level: 0.669 states/eV/atom. The value obtained for the total DFT energy (no corrections) is -0.2082 Ry/atom.

abc: 3.3204 4.9163 15.3271
angles: 80.73 83.80 89.97
Last column: nearest neighbours and their distance in Å.
Sites, in units of the cell vectors:
Er  0.1395  0.6399  0.7213  6 Cd 3.23-3.29, 6 Ag 3.26-3.29, 2 Er 3.32
Er  0.8605  0.3601  0.2787  6 Cd 3.23-3.29, 6 Ag 3.26-3.29, 2 Er 3.32
Er  0.0000  0.0000  0.0000  4 Ag 3.24, 8 Cd 3.29, 2 Er 3.32
Cd  0.5475  0.5478  0.9054  2 Ag 2.81, 1 Cd 2.84
Cd  0.4525  0.4522  0.0946  2 Ag 2.81, 1 Cd 2.84
Cd  0.3135  0.8133  0.3724  5 Ag 2.82-2.95
Cd  0.6865  0.1867  0.6275  5 Ag 2.82-2.95
Ag  0.5929  0.0935  0.8148  3 Cd 2.81-2.82
Ag  0.2673  0.2667  0.4656  4 Cd 2.83-2.95, 4 Ag 3.14-3.15
Ag  0.7328  0.7333  0.5343  4 Cd 2.83-2.95, 4 Ag 3.14-3.15
Ag  0.4071  0.9065  0.1852  3 Cd 2.81-2.82